The following is a GGA-PBE calculation of a relaxed structure of Dy12Ho7In, from the Alexandria database.

* ΔE_f: 168 meV/atom
* space group: R-3
* D(E_F): 1.6811 states/eV per atom

abc: 8.6004 8.6004 8.6004
angles: 88.12 88.12 88.12
Fractional coordinates of all 20 atoms:
Dy  0.1342  0.7438  0.2572
Dy  0.2572  0.1342  0.7438
Dy  0.8658  0.2562  0.7428
Dy  0.4998  0.6158  0.1418
Dy  0.7428  0.8658  0.2562
Dy  0.1418  0.4998  0.6158
Dy  0.6158  0.1418  0.4998
Dy  0.8582  0.5002  0.3842
Dy  0.2562  0.7428  0.8658
Dy  0.3842  0.8582  0.5002
Dy  0.7438  0.2572  0.1342
Dy  0.5002  0.3842  0.8582
Ho  0.1463  0.3868  0.0644
Ho  0.9356  0.8537  0.6132
Ho  0.0644  0.1463  0.3868
Ho  0.8537  0.6132  0.9356
Ho  0.3868  0.0644  0.1463
Ho  0.5000  0.5000  0.5000
Ho  0.6132  0.9356  0.8537
In  0.0000  0.0000  0.0000